[1]
Rh3Se: optimized geometry, PBE.

Polymorph energy (0 for the lowest one) = 58.2 meV/atom
Space-group type = Cmmm, No. 65

Unit cell a=4.6355 b=4.6355 c=2.9119 alpha=90.00 beta=90.00 gamma=108.00
Closest atoms and distances in Å follow each position.
Positions (direct):
Rh (0.0000, 0.0000, 0.0000)  2 Se 2.72, 10 Rh 2.74-2.91
Rh (0.0000, 0.5000, 0.5000)  8 Rh 2.72-2.91, 4 Se 2.74
Rh (0.5000, 0.0000, 0.5000)  8 Rh 2.72-2.91, 4 Se 2.74
Se (0.5000, 0.5000, 0.0000)  10 Rh 2.72-2.74, 2 Se 2.91

[2]
RhSe3: optimized geometry, PBE.

Space-group type = R-3m, No. 166

Unit cell a=7.3419 b=7.3419 c=7.3419 alpha=28.36 beta=28.36 gamma=28.36
Closest atoms and distances in Å follow each position.
Positions (direct):
Rh (0.0000, 0.0000, 0.0000)  6 Se 2.53
Se (0.2646, 0.2646, 0.2646)  3 Rh 2.53
Se (0.5000, 0.5000, 0.5000)  6 Se 2.93
Se (0.7354, 0.7354, 0.7354)  3 Rh 2.53

no.,formation energy without anion corrections (kcal/mol of atoms),final energy (eV/atom),D(E_F) (states/eV per atom)
1,2.72,-6.27,0.986
2,-0.61,-4.48,0.780